This record from Alexandria via LeMat-Bulk describes CeDy3Y2 after structural relaxation. The functional is PBE.

Fermi-level density of states, states/eV/cell: 26.57
Space-group type: Ibam
ΔH_f (0 K), eV/atom: 0.599

Cell lengths 8.8727, 8.8727, 8.8727 Å; angles 100.40, 94.52, 137.78 degrees
Closest atoms and distances in Å follow each position.
Positions (direct):
Ce1 0.0000 0.0000 0.0000  2 Ce 3.20, 4 Dy 3.24, 2 Y 3.45
Ce2 0.5000 0.5000 0.0000  2 Ce 3.20, 4 Dy 3.24, 2 Y 3.45
Dy1 0.0159 0.2500 0.7659  3 Dy 3.20, 2 Ce 3.24, 4 Y 3.47
Dy2 0.2500 0.7500 0.5000  4 Dy 3.20
Dy3 0.4841 0.2500 0.2341  3 Dy 3.20, 2 Ce 3.24, 4 Y 3.47
Dy4 0.5159 0.7500 0.7659  3 Dy 3.20, 2 Ce 3.24, 4 Y 3.47
Dy5 0.7500 0.2500 0.5000  4 Dy 3.20
Dy6 0.9841 0.7500 0.2341  3 Dy 3.20, 2 Ce 3.24, 4 Y 3.47
Y1 0.1525 0.7426 0.8951  1 Ce 3.45, 6 Dy 3.47-3.68
Y2 0.3475 0.2426 0.5901  1 Ce 3.45, 6 Dy 3.47-3.68
Y3 0.6525 0.7574 0.4099  1 Ce 3.45, 6 Dy 3.47-3.68
Y4 0.8475 0.2574 0.1049  1 Ce 3.45, 6 Dy 3.47-3.68

***

This record from Alexandria via LeMat-Bulk describes Rb2IrOsCl6 after structural relaxation. The functional is PBE.

Fermi-level density of states, states/eV/cell: 9.11
Space-group type: I4/mmm
Formation energy (no corrections), eV per atom: -0.57

Cell lengths 6.8716, 6.8716, 6.8716 Å; angles 115.97, 115.97, 97.14 degrees
Closest atoms and distances in Å follow each position.
Positions (direct):
Rb1 0.2500 0.7500 0.5000  12 Cl 3.44-3.64
Rb2 0.7500 0.2500 0.5000  12 Cl 3.44-3.64
Ir1 0.0000 0.0000 0.0000  2 Cl 2.27
Os1 0.5000 0.5000 0.0000  6 Cl 2.28-2.50
Cl1 0.2493 0.2493 0.0000  1 Ir 2.27, 1 Os 2.28
Cl2 0.2576 0.2576 0.5151  1 Os 2.50, 1 Ir 2.65
Cl3 0.2576 0.7424 0.0000  1 Os 2.50, 1 Ir 2.65
Cl4 0.7424 0.2576 0.0000  1 Os 2.50, 1 Ir 2.65
Cl5 0.7424 0.7424 0.4849  1 Os 2.50, 1 Ir 2.65
Cl6 0.7507 0.7507 0.0000  1 Ir 2.27, 1 Os 2.28

***

This record from Alexandria via LeMat-Bulk describes NaNpSc4S8 after structural relaxation. The functional is PBE.

Fermi-level density of states, states/eV/cell: 7.45
Space-group type: R3m
Formation energy (no corrections), eV per atom: -1.68

Cell lengths 7.8572, 7.8572, 7.8572 Å; angles 58.62, 58.62, 58.62 degrees
Closest atoms and distances in Å follow each position.
Positions (direct):
Na1 0.0000 0.0000 0.0000  4 S 2.62-2.63
Np1 0.3687 0.3687 0.3687  6 S 2.69-2.80
Sc1 0.3657 0.3657 0.8853  6 S 2.53-2.72
Sc2 0.3657 0.8853 0.3657  6 S 2.53-2.72
Sc3 0.7439 0.7439 0.7439  4 S 2.49-2.54
Sc4 0.8853 0.3657 0.3657  6 S 2.53-2.72
S1 0.1252 0.1252 0.5850  2 Sc 2.53, 1 Na 2.63, 1 Np 2.69
S2 0.1252 0.5850 0.1252  2 Sc 2.53, 1 Na 2.63, 1 Np 2.69
S3 0.1347 0.1347 0.1347  3 Sc 2.54, 1 Na 2.62
S4 0.1374 0.6226 0.6226  3 Sc 2.49-2.70
S5 0.5850 0.1252 0.1252  2 Sc 2.53, 1 Na 2.63, 1 Np 2.69
S6 0.6133 0.6133 0.6133  4 Sc 2.54-2.72
S7 0.6226 0.1374 0.6226  3 Sc 2.49-2.70
S8 0.6226 0.6226 0.1374  3 Sc 2.49-2.70

***

This record from Alexandria via LeMat-Bulk describes Sr6Sb2PS after structural relaxation. The functional is PBE.

Fermi-level density of states, states/eV/cell: 8.00
Space-group type: P2_1/c
Formation energy (no corrections), eV per atom: -1.18

Cell lengths 7.5982, 8.5368, 13.4268 Å; angles 90.00, 124.36, 90.00 degrees
Closest atoms and distances in Å follow each position.
Positions (direct):
Sr1 0.1195 0.1873 0.4378  1 P 2.98, 1 S 3.08
Sr2 0.1195 0.3127 0.9378  1 P 2.98, 1 S 3.08
Sr3 0.2598 0.6941 0.4396  1 S 3.02, 1 P 3.02
Sr4 0.2598 0.8059 0.9396  1 S 3.02, 1 P 3.02
Sr5 0.3756 0.0448 0.2509  1 P 2.94, 1 S 2.96
Sr6 0.3756 0.4552 0.7509  1 P 2.94, 1 S 2.96
Sr7 0.6244 0.5448 0.2491  1 P 2.94, 1 S 2.96
Sr8 0.6244 0.9552 0.7491  1 P 2.94, 1 S 2.96
Sr9 0.7402 0.1941 0.0604  1 S 3.02, 1 P 3.02
Sr10 0.7402 0.3059 0.5604  1 S 3.02, 1 P 3.02
Sr11 0.8805 0.6873 0.0622  1 P 2.98, 1 S 3.08
Sr12 0.8805 0.8127 0.5622  1 P 2.98, 1 S 3.08
Sb1 0.2129 0.0931 0.7523  6 Sr 3.33-3.52
Sb2 0.2129 0.4069 0.2523  6 Sr 3.33-3.52
Sb3 0.7871 0.5931 0.7477  6 Sr 3.33-3.52
Sb4 0.7871 0.9069 0.2477  6 Sr 3.33-3.52
P1 0.5000 0.0000 0.5000  6 Sr 2.94-3.02
P2 0.5000 0.5000 0.0000  6 Sr 2.94-3.02
S1 0.0000 0.0000 0.0000  6 Sr 2.96-3.08
S2 0.0000 0.5000 0.5000  6 Sr 2.96-3.08

***

This record from Alexandria via LeMat-Bulk describes Pr2ScAl2Rh5 after structural relaxation. The functional is PBE.

Fermi-level density of states, states/eV/cell: 9.36
Space-group type: P4/mbm
ΔH_f (0 K), eV/atom: -0.808

Cell lengths 10.2178, 10.2178, 3.4923 Å; angles 90.00, 90.00, 90.00 degrees
Closest atoms and distances in Å follow each position.
Positions (direct):
Pr1 0.1753 0.3247 0.0000  3 Al 2.92-3.09, 10 Rh 3.08-3.24
Pr2 0.3247 0.8247 0.0000  3 Al 2.92-3.09, 10 Rh 3.08-3.24
Pr3 0.6753 0.1753 0.0000  3 Al 2.92-3.09, 10 Rh 3.08-3.24
Pr4 0.8247 0.6753 0.0000  3 Al 2.92-3.09, 10 Rh 3.08-3.24
Sc1 0.0000 0.0000 0.0000  8 Rh 2.85
Sc2 0.5000 0.5000 0.0000  8 Rh 2.85
Al1 0.1228 0.6228 0.0000  6 Rh 2.49-2.50
Al2 0.3772 0.1228 0.0000  6 Rh 2.49-2.50
Al3 0.6228 0.8772 0.0000  6 Rh 2.49-2.50
Al4 0.8772 0.3772 0.0000  6 Rh 2.49-2.50
Rh1 0.0000 0.5000 0.5000  4 Al 2.49
Rh2 0.0668 0.7893 0.5000  2 Al 2.50
Rh3 0.2107 0.0668 0.5000  2 Al 2.50
Rh4 0.2893 0.5668 0.5000  2 Al 2.50
Rh5 0.4332 0.2893 0.5000  2 Al 2.50
Rh6 0.5000 0.0000 0.5000  4 Al 2.49
Rh7 0.5668 0.7107 0.5000  2 Al 2.50
Rh8 0.7107 0.4332 0.5000  2 Al 2.50
Rh9 0.7893 0.9332 0.5000  2 Al 2.50
Rh10 0.9332 0.2107 0.5000  2 Al 2.50

***

This record from Alexandria via LeMat-Bulk describes MgAs2Ir after structural relaxation. The functional is PBE.

Fermi-level density of states, states/eV/cell: 4.47
Space-group type: I-42d
ΔH_f (0 K), eV/atom: -0.070

Cell lengths 6.9618, 6.9618, 6.9618 Å; angles 129.64, 129.64, 73.98 degrees
Closest atoms and distances in Å follow each position.
Positions (direct):
Mg1 0.0000 0.0000 0.0000  4 As 2.67
Mg2 0.7500 0.2500 0.5000  4 As 2.67
As1 0.1668 0.6250 0.0418  2 Ir 2.38
As2 0.3750 0.4168 0.5418  2 Ir 2.38
As3 0.5832 0.1250 0.9582  2 Ir 2.38
As4 0.8750 0.8332 0.4582  2 Ir 2.38
Ir1 0.2500 0.7500 0.5000  4 As 2.38
Ir2 0.5000 0.5000 0.0000  4 As 2.38

***

This record from Alexandria via LeMat-Bulk describes SrGeP2 after structural relaxation. The functional is PBE.

Fermi-level density of states, states/eV/cell: 0.00
Space-group type: I-42d
ΔH_f (0 K), eV/atom: -0.550

Cell lengths 6.3870, 6.3870, 6.3870 Å; angles 113.55, 113.55, 101.58 degrees
Closest atoms and distances in Å follow each position.
Positions (direct):
Sr1 0.0000 0.0000 0.0000  4 P 3.08
Sr2 0.7500 0.2500 0.5000  4 P 3.08
Ge1 0.2500 0.7500 0.5000  4 P 2.34
Ge2 0.5000 0.5000 0.0000  4 P 2.34
P1 0.2065 0.6250 0.0815  2 Ge 2.34
P2 0.3750 0.4565 0.5815  2 Ge 2.34
P3 0.5435 0.1250 0.9185  2 Ge 2.34
P4 0.8750 0.7935 0.4185  2 Ge 2.34

***

This record from Alexandria via LeMat-Bulk describes KBeP after structural relaxation. The functional is PBE.

Fermi-level density of states, states/eV/cell: 0.00
Space-group type: Pnma
ΔH_f (0 K), eV/atom: -0.468

Cell lengths 6.1685, 3.7239, 12.0716 Å; angles 90.00, 90.00, 90.00 degrees
Closest atoms and distances in Å follow each position.
Positions (direct):
K1 0.0902 0.2500 0.1593  4 Be 3.29-3.67, 5 P 3.36-3.59
K2 0.4098 0.7500 0.6593  4 Be 3.29-3.67, 5 P 3.36-3.59
K3 0.5902 0.2500 0.3407  4 Be 3.29-3.67, 5 P 3.36-3.59
K4 0.9098 0.7500 0.8407  4 Be 3.29-3.67, 5 P 3.36-3.59
Be1 0.0647 0.2500 0.4652  3 P 2.12-2.16, 2 Be 2.19
Be2 0.4353 0.7500 0.9652  3 P 2.12-2.16, 2 Be 2.19
Be3 0.5647 0.2500 0.0348  3 P 2.12-2.16, 2 Be 2.19
Be4 0.9353 0.7500 0.5348  3 P 2.12-2.16, 2 Be 2.19
P1 0.1491 0.7500 0.3934  3 Be 2.12-2.16
P2 0.3509 0.2500 0.8934  3 Be 2.12-2.16
P3 0.6491 0.7500 0.1066  3 Be 2.12-2.16
P4 0.8509 0.2500 0.6066  3 Be 2.12-2.16

***

This record from Alexandria via LeMat-Bulk describes FeW after structural relaxation. The functional is PBE.

Fermi-level density of states, states/eV/cell: 4.53
Space-group type: Cmcm
ΔH_f (0 K), eV/atom: 0.434

Cell lengths 5.2348, 5.2348, 4.3607 Å; angles 90.00, 90.00, 151.59 degrees
Closest atoms and distances in Å follow each position.
Positions (direct):
Fe1 0.1755 0.8245 0.7500  5 W 2.51-2.72, 2 Fe 2.57
Fe2 0.8245 0.1755 0.2500  5 W 2.51-2.72, 2 Fe 2.57
W1 0.4229 0.5771 0.7500  5 Fe 2.51-2.72, 4 W 2.57-2.68
W2 0.5771 0.4229 0.2500  5 Fe 2.51-2.72, 4 W 2.57-2.68

***

This record from Alexandria via LeMat-Bulk describes LiYPb after structural relaxation. The functional is PBE.

Fermi-level density of states, states/eV/cell: 2.36
Space-group type: P3m1
ΔH_f (0 K), eV/atom: -0.087

Cell lengths 3.5392, 3.5392, 7.6803 Å; angles 90.00, 90.00, 120.00 degrees
Closest atoms and distances in Å follow each position.
Positions (direct):
Li1 0.0000 0.0000 0.0000  3 Pb 3.02
Y1 0.6667 0.3333 0.6344  3 Pb 3.35, 3 Li 3.47, 6 Y 3.54
Pb1 0.3333 0.6667 0.2895  3 Li 3.02, 3 Y 3.35

***

This record from Alexandria via LeMat-Bulk describes Tl12Hg7Au after structural relaxation. The functional is PBE.

Fermi-level density of states, states/eV/cell: 8.61
Space-group type: R-3
ΔH_f (0 K), eV/atom: 0.011

Cell lengths 8.8080, 8.8080, 8.8080 Å; angles 106.12, 106.12, 106.12 degrees
Closest atoms and distances in Å follow each position.
Positions (direct):
Tl1 0.0552 0.7830 0.2774  3 Hg 3.15-3.51, 2 Tl 3.44-3.46
Tl2 0.1499 0.2168 0.4281  1 Au 3.15, 3 Hg 3.20-3.38, 2 Tl 3.44-3.46
Tl3 0.2168 0.4281 0.1499  1 Au 3.15, 3 Hg 3.20-3.38, 2 Tl 3.44-3.46
Tl4 0.2170 0.7226 0.9448  3 Hg 3.15-3.51, 2 Tl 3.44-3.46
Tl5 0.2774 0.0552 0.7830  3 Hg 3.15-3.51, 2 Tl 3.44-3.46
Tl6 0.4281 0.1499 0.2168  1 Au 3.15, 3 Hg 3.20-3.38, 2 Tl 3.44-3.46
Tl7 0.5719 0.8501 0.7832  1 Au 3.15, 3 Hg 3.20-3.38, 2 Tl 3.44-3.46
Tl8 0.7226 0.9448 0.2170  3 Hg 3.15-3.51, 2 Tl 3.44-3.46
Tl9 0.7830 0.2774 0.0552  3 Hg 3.15-3.51, 2 Tl 3.44-3.46
Tl10 0.7832 0.5719 0.8501  1 Au 3.15, 3 Hg 3.20-3.38, 2 Tl 3.44-3.46
Tl11 0.8501 0.7832 0.5719  1 Au 3.15, 3 Hg 3.20-3.38, 2 Tl 3.44-3.46
Tl12 0.9448 0.2170 0.7226  3 Hg 3.15-3.51, 2 Tl 3.44-3.46
Hg1 0.0000 0.0000 0.0000  12 Tl 3.38-3.51
Hg2 0.1791 0.6194 0.5403  1 Hg 3.02, 4 Tl 3.15-3.32, 1 Au 3.35
Hg3 0.3806 0.4597 0.8209  1 Hg 3.02, 4 Tl 3.15-3.32, 1 Au 3.35
Hg4 0.4597 0.8209 0.3806  1 Hg 3.02, 4 Tl 3.15-3.32, 1 Au 3.35
Hg5 0.5403 0.1791 0.6194  1 Hg 3.02, 4 Tl 3.15-3.32, 1 Au 3.35
Hg6 0.6194 0.5403 0.1791  1 Hg 3.02, 4 Tl 3.15-3.32, 1 Au 3.35
Hg7 0.8209 0.3806 0.4597  1 Hg 3.02, 4 Tl 3.15-3.32, 1 Au 3.35
Au1 0.5000 0.5000 0.5000  6 Tl 3.15, 6 Hg 3.35